No. 1
## ZrSbPS2 (PBEsol)

Data for ZrSbPS2 after structural relaxation.

```
data_ZrSbPS2
_cell_length_a 4.8125
_cell_length_b 4.8125
_cell_length_c 5.1541
_cell_angle_alpha 90.00
_cell_angle_beta 90.00
_cell_angle_gamma 90.00
_symmetry_space_group_name_H-M 'P 4/m m m'
_symmetry_Int_Tables_number 123
_symmetry_space_group_name_Hall '-P 4 2'
loop_
_atom_site_label
_atom_site_type_symbol
_atom_site_fract_x
_atom_site_fract_y
_atom_site_fract_z
Zr1 Zr 0.0000 0.0000 0.0000
Sb1 Sb 0.5000 0.5000 0.5000
P1 P 0.0000 0.0000 0.5000
S1 S 0.0000 0.5000 0.0000
```

- raw formation energy (eV/atom) = -0.142

No. 2
## TaFeCo2 (PBEsol)

Data for TaFeCo2 after structural relaxation.

```
data_TaFeCo2
_cell_length_a 3.6153
_cell_length_b 3.6153
_cell_length_c 3.5734
_cell_angle_alpha 90.00
_cell_angle_beta 90.00
_cell_angle_gamma 90.00
_symmetry_space_group_name_H-M 'P 4/m m m'
_symmetry_Int_Tables_number 123
_symmetry_space_group_name_Hall '-P 4 2'
loop_
_atom_site_label
_atom_site_type_symbol
_atom_site_fract_x
_atom_site_fract_y
_atom_site_fract_z
Ta1 Ta 0.0000 0.0000 0.0000
Fe1 Fe 0.5000 0.5000 0.0000
Co1 Co 0.0000 0.5000 0.5000
```

- energy above the lowest structure with this stoichiometry (eV per formula unit) = 0.00
- energy of formation from the pure elements (eV/atom) = -0.202

No. 3
## TiV4CoO12 (PBEsol)

Data for TiV4CoO12 after structural relaxation.

```
data_TiV4CoO12
_cell_length_a 9.9007
_cell_length_b 8.9213
_cell_length_c 5.6668
_cell_angle_alpha 90.00
_cell_angle_beta 110.49
_cell_angle_gamma 90.00
_symmetry_space_group_name_H-M 'C 1 2 1'
_symmetry_Int_Tables_number 5
loop_
_symmetry_equiv_pos_as_xyz
'x,y,z'
'-x,y,-z'
'x+1/2,y+1/2,z'
'-x+1/2,y+1/2,-z'
loop_
_atom_site_label
_atom_site_type_symbol
_atom_site_fract_x
_atom_site_fract_y
_atom_site_fract_z
Ti1 Ti 0.0000 0.0000 0.0000
V1 V 0.2051 0.3198 0.9963
V2 V 0.2050 0.5062 0.5006
Co1 Co 0.0000 0.8237 0.5000
O1 O 0.1069 0.9900 0.3761
O2 O 0.1096 0.8358 0.8877
O3 O 0.1365 0.3942 0.6940
O4 O 0.1403 0.6793 0.4836
O5 O 0.1408 0.1386 0.9913
O6 O 0.1448 0.4307 0.1925
```

- raw formation energy (eV/atom) = -2.244

Calculated volume readings, ordered: 23.874 11.677 13.024 A^3/atom